Record 1
VASP calculation (PBE-GGA) on a relaxed EuCuAgSn crystal.

The calculation puts the formation energy at -265 meV/atom. The density of states at the Fermi level comes out at 12.21 states/eV/f.u. The value obtained for the magnetic moment is 27.7 Bohr magnetons per cell.

It has space group F-43m (No. 216), with a = 7.0105 Å, b = 7.0105 Å, c = 7.0105 Å, α = 90.00°, β = 90.00° and γ = 90.00°. The asymmetric unit holds Eu at (0.0000, 0.0000, 0.0000), Cu at (0.2500, 0.2500, 0.7500), Ag at (0.2500, 0.2500, 0.2500) and Sn at (0.0000, 0.0000, 0.5000).



Record 2
VASP calculation (PBE-GGA) on a relaxed SrEuCuAg crystal.

The calculation puts the formation energy at -129 meV/atom. The density of states at the Fermi level comes out at 10.11 states/eV/f.u. The value obtained for the magnetic moment is 29.6 Bohr magnetons per cell.

It has space group F-43m (No. 216), with a = 7.6086 Å, b = 7.6086 Å, c = 7.6086 Å, α = 90.00°, β = 90.00° and γ = 90.00°. The asymmetric unit holds Sr at (0.0000, 0.0000, 0.0000), Eu at (0.0000, 0.0000, 0.5000), Cu at (0.2500, 0.2500, 0.2500) and Ag at (0.2500, 0.2500, 0.7500).



Record 3
VASP calculation (PBE-GGA) on a relaxed TbEuCuAg crystal.

The calculation puts the formation energy at -176 meV/atom. The density of states at the Fermi level comes out at 8.19 states/eV/f.u. The value obtained for the magnetic moment is 28.1 Bohr magnetons per cell.

It has space group F-43m (No. 216), with a = 7.2871 Å, b = 7.2871 Å, c = 7.2871 Å, α = 90.00°, β = 90.00° and γ = 90.00°. The asymmetric unit holds Tb at (0.0000, 0.0000, 0.0000), Eu at (0.0000, 0.0000, 0.5000), Cu at (0.2500, 0.2500, 0.2500) and Ag at (0.2500, 0.2500, 0.7500).



What did the first record say?
VASP calculation (PBE-GGA) on a relaxed EuCuAgSn crystal.

The calculation puts the formation energy at -265 meV/atom. The density of states at the Fermi level comes out at 12.21 states/eV/f.u. The value obtained for the magnetic moment is 27.7 Bohr magnetons per cell.

It has space group F-43m (No. 216), with a = 7.0105 Å, b = 7.0105 Å, c = 7.0105 Å, α = 90.00°, β = 90.00° and γ = 90.00°. The asymmetric unit holds Eu at (0.0000, 0.0000, 0.0000), Cu at (0.2500, 0.2500, 0.7500), Ag at (0.2500, 0.2500, 0.2500) and Sn at (0.0000, 0.0000, 0.5000).



- What is the magnetic moment in the third record?
  28.1 Bohr magnetons per cell